(1)
Entry from OQMD via LeMat-Bulk: Rb2SmTlBr6 after structural relaxation (PBE).

Cell: 8.481 8.481 8.481 Å, 60.00 60.00 60.00°
Positions (direct):
Br 0.763 0.763 0.237
Br 0.763 0.237 0.237
Br 0.237 0.763 0.237
Br 0.237 0.237 0.763
Br 0.763 0.237 0.763
Br 0.237 0.763 0.763
Rb 0.250 0.250 0.250
Rb 0.750 0.750 0.750
Sm 0.000 0.000 0.000
Tl 0.500 0.500 0.500

Computed properties:
The electronic total energy is -35.1 eV for the cell shown.

(2)
Entry from OQMD via LeMat-Bulk: Rb3TbBr6 after structural relaxation (PBE).

Cell: 8.213 8.213 8.213 Å, 62.43 62.43 62.43°
Positions (direct):
Br 0.795 0.329 0.123
Br 0.671 0.877 0.205
Br 0.123 0.795 0.329
Br 0.877 0.205 0.671
Br 0.329 0.123 0.795
Br 0.205 0.671 0.877
Rb 0.225 0.225 0.225
Rb 0.500 0.500 0.500
Rb 0.775 0.775 0.775
Tb 0.000 0.000 0.000

Computed properties:
The value obtained for the relative energy among the computed polymorphs is 9 meV/atom.

(3)
Entry from OQMD via LeMat-Bulk: Rb3TbBr6 after structural relaxation (PBE).

Cell: 8.103 8.603 13.965 Å, 90.00 124.27 90.00°
Positions (direct):
Br 0.334 0.322 0.055
Br 0.239 0.772 0.074
Br 0.099 0.449 0.226
Br 0.901 0.949 0.274
Br 0.761 0.272 0.426
Br 0.666 0.822 0.445
Br 0.334 0.178 0.555
Br 0.239 0.728 0.574
Br 0.099 0.051 0.726
Br 0.901 0.551 0.774
Br 0.761 0.228 0.926
Br 0.666 0.678 0.945
Rb 0.500 0.000 0.000
Rb 0.715 0.575 0.244
Rb 0.285 0.075 0.256
Rb 0.500 0.500 0.500
Rb 0.715 0.925 0.744
Rb 0.285 0.425 0.756
Tb 0.000 0.500 0.000
Tb 0.000 0.000 0.500

Computed properties:
The value obtained for the relative energy among the computed polymorphs is 0 meV/atom.

(4)
Entry from OQMD via LeMat-Bulk: Rb2TmTlBr6 after structural relaxation (PBE).

Cell: 8.338 8.338 8.338 Å, 60.00 60.00 60.00°
Positions (direct):
Br 0.733 0.733 0.267
Br 0.733 0.267 0.267
Br 0.267 0.733 0.267
Br 0.267 0.267 0.733
Br 0.733 0.267 0.733
Br 0.267 0.733 0.733
Rb 0.250 0.250 0.250
Rb 0.750 0.750 0.750
Tl 0.000 0.000 0.000
Tm 0.500 0.500 0.500

Computed properties:
The electronic total energy is -34.9 eV for the cell shown.

(5)
Entry from OQMD via LeMat-Bulk: Rb2ZrTlBr6 after structural relaxation (PBE).

Cell: 8.247 8.247 8.247 Å, 120.03 120.03 89.95°
Site moments in Bohr magnetons follow the coordinates.
Positions (direct):
Br 0.231 0.231 0.000  0.00
Br 0.769 0.231 0.000  0.00
Br 0.231 0.769 0.000  0.00
Br 0.769 0.769 0.000  0.00
Br 0.231 0.231 0.463  0.00
Br 0.769 0.769 0.537  0.00
Rb 0.750 0.250 0.500  0.00
Rb 0.250 0.750 0.500  0.00
Tl 0.500 0.500 0.000  0.00
Zr 0.000 0.000 0.000  0.68

Computed properties:
The electronic total energy is -36.3 eV for the cell shown.

(6)
Entry from OQMD via LeMat-Bulk: RbTmBr3 after structural relaxation (PBE).

Cell: 7.871 7.871 6.364 Å, 93.58 93.58 59.97°
Positions (direct):
Br 0.827 0.827 0.223
Br 0.828 0.346 0.264
Br 0.346 0.828 0.264
Br 0.654 0.172 0.736
Br 0.172 0.654 0.736
Br 0.173 0.173 0.777
Rb 0.335 0.335 0.254
Rb 0.665 0.665 0.746
Tm 0.000 0.000 0.000
Tm 0.000 0.000 0.500

Computed properties:
The electronic total energy is -36.9 eV for the cell shown.

(7)
Entry from OQMD via LeMat-Bulk: Rb2UBr6 after structural relaxation (PBE).

Cell: 7.969 7.969 8.113 Å, 120.08 120.08 59.28°
Site moments in Bohr magnetons follow the coordinates.
Positions (direct):
Br 0.710 0.206 0.196  -0.03
Br 0.206 0.710 0.196  -0.03
Br 0.239 0.239 0.316  -0.02
Br 0.761 0.761 0.684  -0.02
Br 0.794 0.290 0.804  -0.03
Br 0.290 0.794 0.804  -0.03
Rb 0.754 0.754 0.245  0.00
Rb 0.246 0.246 0.755  0.00
U 0.000 0.000 0.000  2.08

Computed properties:
The electronic total energy is -37.3 eV for the cell shown.

(8)
Entry from OQMD via LeMat-Bulk: RbW3Br7 after structural relaxation (PBE).

Cell: 12.887 12.887 9.911 Å, 110.43 110.43 73.82°
Positions (direct):
Br 0.748 0.625 0.026
Br 0.152 0.688 0.077
Br 0.459 0.678 0.127
Br 0.880 0.877 0.133
Br 0.340 0.984 0.159
Br 0.532 0.165 0.188
Br 0.112 0.349 0.233
Br 0.651 0.888 0.267
Br 0.835 0.468 0.312
Br 0.016 0.660 0.341
Br 0.123 0.120 0.367
Br 0.322 0.541 0.373
Br 0.312 0.848 0.423
Br 0.375 0.252 0.474
Br 0.625 0.748 0.526
Br 0.688 0.152 0.577
Br 0.678 0.459 0.627
Br 0.877 0.880 0.633
Br 0.984 0.340 0.659
Br 0.165 0.532 0.688
Br 0.349 0.112 0.733
Br 0.888 0.651 0.767
Br 0.468 0.835 0.812
Br 0.660 0.016 0.841
Br 0.120 0.123 0.867
Br 0.541 0.322 0.873
Br 0.848 0.312 0.923
Br 0.252 0.375 0.974
Rb 0.000 0.000 0.000
Rb 0.566 0.434 0.250
Rb 0.000 0.000 0.500
Rb 0.434 0.566 0.750
W 0.951 0.656 0.054
W 0.931 0.487 0.131
W 0.133 0.517 0.157
W 0.483 0.867 0.343
W 0.513 0.069 0.369
W 0.344 0.049 0.446
W 0.656 0.951 0.554
W 0.487 0.931 0.631
W 0.517 0.133 0.657
W 0.867 0.483 0.843
W 0.069 0.513 0.869
W 0.049 0.344 0.946

Computed properties:
The electronic total energy is -237.1 eV for the cell shown.

(9)
Entry from OQMD via LeMat-Bulk: Rb2YZnBr6 after structural relaxation (PBE).

Cell: 7.998 7.998 7.998 Å, 60.00 60.00 60.00°
Site moments in Bohr magnetons follow the coordinates.
Positions (direct):
Br 0.248 0.752 0.248  0.02
Br 0.752 0.248 0.248  0.01
Br 0.752 0.752 0.248  0.02
Br 0.752 0.248 0.752  0.02
Br 0.248 0.752 0.752  0.01
Br 0.248 0.248 0.752  0.02
Rb 0.250 0.250 0.250  0.00
Rb 0.750 0.750 0.750  0.00
Y 0.000 0.000 0.000  0.06
Zn 0.500 0.500 0.500  0.18

Computed properties:
The electronic total energy is -34.3 eV for the cell shown.

(10)
Entry from OQMD via LeMat-Bulk: Rb3ZnBr5 after structural relaxation (PBE).

Cell: 9.248 10.598 13.669 Å, 90.00 90.00 90.00°
Positions (direct):
Br 0.535 0.250 0.013
Br 0.185 0.058 0.063
Br 0.185 0.442 0.063
Br 0.865 0.250 0.219
Br 0.840 0.750 0.235
Br 0.340 0.750 0.265
Br 0.365 0.250 0.281
Br 0.685 0.058 0.437
Br 0.685 0.442 0.437
Br 0.035 0.250 0.487
Br 0.965 0.750 0.513
Br 0.315 0.558 0.563
Br 0.315 0.942 0.563
Br 0.635 0.750 0.719
Br 0.660 0.250 0.735
Br 0.160 0.250 0.765
Br 0.135 0.750 0.781
Br 0.815 0.558 0.937
Br 0.815 0.942 0.937
Br 0.465 0.750 0.987
Rb 0.085 0.750 0.047
Rb 0.590 0.521 0.172
Rb 0.590 0.979 0.172
Rb 0.090 0.521 0.328
Rb 0.090 0.979 0.328
Rb 0.585 0.750 0.453
Rb 0.415 0.250 0.547
Rb 0.910 0.021 0.672
Rb 0.910 0.479 0.672
Rb 0.410 0.021 0.828
Rb 0.410 0.479 0.828
Rb 0.915 0.250 0.953
Zn 0.311 0.250 0.108
Zn 0.811 0.250 0.392
Zn 0.189 0.750 0.608
Zn 0.689 0.750 0.892

Computed properties:
The electronic total energy is -103.8 eV for the cell shown.

(11)
Entry from OQMD via LeMat-Bulk: RbZnBr3 after structural relaxation (PBE).

Cell: 7.382 6.310 8.973 Å, 90.00 112.25 90.00°
Positions (direct):
Br 0.177 0.458 0.156
Br 0.789 0.468 0.326
Br 0.489 0.953 0.366
Br 0.511 0.453 0.634
Br 0.211 0.968 0.674
Br 0.823 0.958 0.844
Rb 0.954 0.970 0.251
Rb 0.046 0.470 0.749
Zn 0.487 0.551 0.357
Zn 0.513 0.051 0.643

Computed properties:
The electronic total energy is -27.1 eV for the cell shown.

(12)
Entry from OQMD via LeMat-Bulk: RbZnBr3 after structural relaxation (PBE).

Cell: 7.674 7.674 7.674 Å, 120.50 120.50 89.13°
Positions (direct):
Br 0.765 0.235 0.000
Br 0.281 0.281 0.000
Br 0.719 0.719 0.000
Br 0.235 0.765 0.000
Br 0.235 0.235 0.471
Br 0.765 0.765 0.529
Rb 0.750 0.250 0.500
Rb 0.250 0.750 0.500
Zn 0.000 0.000 0.000
Zn 0.500 0.500 0.000

Computed properties:
The electronic total energy is -25.9 eV for the cell shown.

(13)
Entry from OQMD via LeMat-Bulk: Rb3ZnBr6 after structural relaxation (PBE).

Cell: 7.193 8.140 8.378 Å, 62.52 65.23 63.98°
Positions (direct):
Br 0.652 0.893 0.123
Br 0.773 0.278 0.171
Br 0.064 0.741 0.312
Br 0.936 0.259 0.688
Br 0.227 0.722 0.829
Br 0.348 0.107 0.877
Rb 0.236 0.299 0.220
Rb 0.500 0.500 0.500
Rb 0.764 0.701 0.780
Zn 0.000 0.000 0.000

Computed properties:
The electronic total energy is -26.3 eV for the cell shown.

(14)
Entry from OQMD via LeMat-Bulk: Rb2ZrZnBr6 after structural relaxation (PBE).

Cell: 8.271 8.271 8.271 Å, 60.00 60.00 60.00°
Positions (direct):
Br 0.773 0.227 0.227
Br 0.227 0.773 0.227
Br 0.773 0.773 0.227
Br 0.227 0.227 0.773
Br 0.773 0.227 0.773
Br 0.227 0.773 0.773
Rb 0.250 0.250 0.250
Rb 0.750 0.750 0.750
Zn 0.500 0.500 0.500
Zr 0.000 0.000 0.000

Computed properties:
The electronic total energy is -34.6 eV for the cell shown.

(15)
Entry from OQMD via LeMat-Bulk: Rb3ZrBr6 after structural relaxation (PBE).

Cell: 8.336 8.336 8.336 Å, 60.00 60.00 60.00°
Site moments in Bohr magnetons follow the coordinates.
Positions (direct):
Br 0.771 0.229 0.229  0.00
Br 0.229 0.771 0.229  0.00
Br 0.771 0.771 0.229  -0.01
Br 0.229 0.229 0.771  -0.01
Br 0.771 0.229 0.771  0.00
Br 0.229 0.771 0.771  0.00
Rb 0.250 0.250 0.250  0.00
Rb 0.500 0.500 0.500  0.00
Rb 0.750 0.750 0.750  0.00
Zr 0.000 0.000 0.000  0.69

Computed properties:
The electronic total energy is -36.6 eV for the cell shown.

(16)
Entry from OQMD via LeMat-Bulk: ReBr6 after structural relaxation (PBE).

Cell: 6.359 6.359 11.586 Å, 90.06 90.06 117.86°
Site moments in Bohr magnetons follow the coordinates.
Positions (direct):
Br 0.678 0.025 0.126  0.00
Br 0.355 0.342 0.127  0.00
Br 0.976 0.644 0.131  0.00
Br 0.356 0.024 0.369  0.00
Br 0.658 0.645 0.373  0.00
Br 0.975 0.322 0.374  0.01
Br 0.025 0.678 0.626  0.01
Br 0.342 0.355 0.627  0.00
Br 0.644 0.976 0.631  0.00
Br 0.024 0.356 0.869  0.00
Br 0.645 0.658 0.873  0.00
Br 0.322 0.975 0.874  0.00
Re 0.666 0.334 0.250  0.87
Re 0.334 0.666 0.750  0.87

Computed properties:
The electronic total energy is -47.5 eV for the cell shown.

(17)
Entry from OQMD via LeMat-Bulk: Re2Br after structural relaxation (PBE).

Cell: 5.343 5.343 5.343 Å, 60.00 60.00 60.00°
Positions (direct):
Br 0.000 0.000 0.000
Br 0.250 0.250 0.250
Re 0.625 0.625 0.125
Re 0.625 0.125 0.625
Re 0.125 0.625 0.625
Re 0.625 0.625 0.625

Computed properties:
The value obtained for the relative energy among the computed polymorphs is 0 meV/atom.

(18)
Entry from OQMD via LeMat-Bulk: Re2Br after structural relaxation (PBE).

Cell: 4.159 4.159 4.159 Å, 60.00 60.00 60.00°
Positions (direct):
Br 0.000 0.000 0.000
Re 0.250 0.250 0.250
Re 0.750 0.750 0.750

Computed properties:
The value obtained for the relative energy among the computed polymorphs is 466 meV/atom.

(19)
Entry from OQMD via LeMat-Bulk: Re2Br after structural relaxation (PBE).

Cell: 7.915 7.915 7.915 Å, 60.00 60.00 60.00°
Site moments in Bohr magnetons follow the coordinates.
Positions (direct):
Br 0.250 0.250 0.250  0.01
Br 0.500 0.500 0.500  0.01
Re 0.875 0.375 0.375  3.04
Re 0.375 0.875 0.375  2.97
Re 0.375 0.375 0.375  2.95
Re 0.375 0.375 0.875  2.94

Computed properties:
The value obtained for the relative energy among the computed polymorphs is 2303 meV/atom.